This record from Alexandria describes a relaxed structure of LiAcSiPd2. The functional is GGA-PBE.

a = 6.181 Å, b = 6.181 Å, c = 6.181 Å
α = 139.56°, β = 139.56°, γ = 58.52°
Sites, in units of the cell vectors:
1 Li 0.000 0.000 0.000
2 Ac 0.250 0.750 0.500
3 Si 0.500 0.500 0.000
4 Pd 0.619 0.119 0.500
5 Pd 0.881 0.381 0.500

Results
For the uncorrected formation energy, the calculation gives -0.735 eV/atom. Its space group is I-4m2, No. 119. The volume is 98.44 Å³ per cell.

=====

This record from Alexandria describes a relaxed structure of NdDyScTl. The functional is GGA-PBE.

a = 5.433 Å, b = 5.433 Å, c = 5.433 Å
α = 60.00°, β = 60.00°, γ = 60.00°
Sites, in units of the cell vectors:
1 Nd 0.000 0.000 0.000
2 Dy 0.500 0.500 0.500
3 Sc 0.750 0.750 0.750
4 Tl 0.250 0.250 0.250

Results
The value obtained for the energy relative to the lowest polymorph listed for this composition is 10.2 kJ/mol of atoms. Its space group is F-43m, No. 216. The volume is 113.37 Å³ per cell. Its formation energy is -69 meV/atom.

=====

This record from Alexandria describes a relaxed structure of CeMgZnGa. The functional is GGA-PBE.

a = 4.920 Å, b = 4.920 Å, c = 4.920 Å
α = 60.00°, β = 60.00°, γ = 60.00°
Sites, in units of the cell vectors:
1 Ce 0.000 0.000 0.000
2 Mg 0.500 0.500 0.500
3 Zn 0.250 0.250 0.250
4 Ga 0.750 0.750 0.750

Results
Its space group is F-43m, No. 216. The volume is 84.19 Å³ per cell. Its formation energy is -367 meV/atom.

=====

This record from Alexandria describes a relaxed structure of Li3Tb12Sc5. The functional is GGA-PBE.

a = 15.423 Å, b = 15.423 Å, c = 15.423 Å
α = 109.47°, β = 109.47°, γ = 109.47°
Sites, in units of the cell vectors:
1 Li 0.125 0.250 0.375
2 Li 0.125 0.375 0.750
3 Li 0.250 0.375 0.125
4 Li 0.250 0.875 0.625
5 Li 0.375 0.125 0.250
6 Li 0.375 0.750 0.125
7 Li 0.625 0.250 0.875
8 Li 0.625 0.875 0.750
9 Li 0.750 0.125 0.375
10 Li 0.750 0.625 0.875
11 Li 0.875 0.625 0.250
12 Li 0.875 0.750 0.625
13 Tb 0.060 0.633 0.402
14 Tb 0.060 0.927 0.657
15 Tb 0.073 0.230 0.133
16 Tb 0.073 0.343 0.940
17 Tb 0.098 0.730 0.657
18 Tb 0.098 0.867 0.440
19 Tb 0.133 0.073 0.230
20 Tb 0.133 0.560 0.902
21 Tb 0.157 0.230 0.598
22 Tb 0.157 0.427 0.560
23 Tb 0.230 0.133 0.073
24 Tb 0.230 0.598 0.157
25 Tb 0.270 0.343 0.902
26 Tb 0.270 0.427 0.367
27 Tb 0.343 0.902 0.270
28 Tb 0.343 0.940 0.073
29 Tb 0.367 0.270 0.427
30 Tb 0.367 0.598 0.940
31 Tb 0.402 0.060 0.633
32 Tb 0.402 0.843 0.770
33 Tb 0.427 0.367 0.270
34 Tb 0.427 0.560 0.157
35 Tb 0.440 0.098 0.867
36 Tb 0.440 0.843 0.573
37 Tb 0.560 0.157 0.427
38 Tb 0.560 0.902 0.133
39 Tb 0.573 0.440 0.843
40 Tb 0.573 0.633 0.730
41 Tb 0.598 0.157 0.230
42 Tb 0.598 0.940 0.367
43 Tb 0.633 0.402 0.060
44 Tb 0.633 0.730 0.573
45 Tb 0.657 0.060 0.927
46 Tb 0.657 0.098 0.730
47 Tb 0.730 0.573 0.633
48 Tb 0.730 0.657 0.098
49 Tb 0.770 0.402 0.843
50 Tb 0.770 0.867 0.927
51 Tb 0.843 0.573 0.440
52 Tb 0.843 0.770 0.402
53 Tb 0.867 0.440 0.098
54 Tb 0.867 0.927 0.770
55 Tb 0.902 0.133 0.560
56 Tb 0.902 0.270 0.343
57 Tb 0.927 0.657 0.060
58 Tb 0.927 0.770 0.867
59 Tb 0.940 0.073 0.343
60 Tb 0.940 0.367 0.598
61 Sc 0.000 0.000 0.000
62 Sc 0.000 0.000 0.500
63 Sc 0.000 0.500 0.000
64 Sc 0.000 0.500 0.500
65 Sc 0.125 0.750 0.875
66 Sc 0.125 0.875 0.250
67 Sc 0.250 0.125 0.875
68 Sc 0.250 0.625 0.375
69 Sc 0.375 0.250 0.625
70 Sc 0.375 0.625 0.750
71 Sc 0.500 0.000 0.000
72 Sc 0.500 0.000 0.500
73 Sc 0.500 0.500 0.000
74 Sc 0.500 0.500 0.500
75 Sc 0.625 0.375 0.250
76 Sc 0.625 0.750 0.375
77 Sc 0.750 0.375 0.625
78 Sc 0.750 0.875 0.125
79 Sc 0.875 0.125 0.750
80 Sc 0.875 0.250 0.125

Results
Its space group is Ia-3d, No. 230. The volume is 2824.04 Å³ per cell. Its formation energy is 994 meV/atom.

=====

This record from Alexandria describes a relaxed structure of NaCa2GaTc. The functional is GGA-PBE.

a = 5.505 Å, b = 5.505 Å, c = 4.883 Å
α = 90.00°, β = 90.00°, γ = 90.00°
Sites, in units of the cell vectors:
1 Na 0.000 0.000 0.000
2 Ca 0.000 0.500 0.000
3 Ca 0.500 0.000 0.000
4 Ga 0.000 0.000 0.500
5 Tc 0.500 0.500 0.500

Results
Its space group is P4/mmm, No. 123. The volume is 147.97 Å³ per cell. Its formation energy is 1167 meV/atom.

=====

This record from Alexandria describes a relaxed structure of ZnSb2. The functional is GGA-PBE.

a = 6.522 Å, b = 6.522 Å, c = 7.656 Å
α = 107.46°, β = 107.46°, γ = 30.50°
Sites, in units of the cell vectors:
1 Zn 0.000 0.000 0.000
2 Zn 0.637 0.637 0.311
3 Sb 0.212 0.212 0.644
4 Sb 0.235 0.235 0.078
5 Sb 0.452 0.452 0.702
6 Sb 0.935 0.935 0.301

Results
For the uncorrected formation energy, the calculation gives 0.176 eV/atom. Its space group is Cm, No. 8. The volume is 157.05 Å³ per cell.

=====

Copy entry 2 word for word.
This record from Alexandria describes a relaxed structure of NdDyScTl. The functional is GGA-PBE.

a = 5.433 Å, b = 5.433 Å, c = 5.433 Å
α = 60.00°, β = 60.00°, γ = 60.00°
Sites, in units of the cell vectors:
1 Nd 0.000 0.000 0.000
2 Dy 0.500 0.500 0.500
3 Sc 0.750 0.750 0.750
4 Tl 0.250 0.250 0.250

Results
The value obtained for the energy relative to the lowest polymorph listed for this composition is 10.2 kJ/mol of atoms. Its space group is F-43m, No. 216. The volume is 113.37 Å³ per cell. Its formation energy is -69 meV/atom.